[1]
# Pm3NdSm7

A relaxed structure of Pm3NdSm7 (GGA-PBE, Alexandria).

The structure belongs to space group C2/m (No. 12); the cell edges are 12.822, 11.380 and 5.958 Å and the angles 90.00°, 117.64° and 90.00°. The inequivalent atoms are Pm at (0.000, 0.000, 0.000), Pm at (0.000, 0.208, 0.500), Nd at (0.000, 0.500, 0.000), Sm at (0.000, 0.500, 0.500), Sm at (0.203, 0.200, 0.203) and Sm at (0.207, 0.000, 0.706).

[2]
# Pm5NdSm4

A relaxed structure of Pm5NdSm4 (GGA-PBE, Alexandria).

The structure belongs to space group I4mm (No. 107); the cell edges are 10.620, 10.620 and 6.200 Å and the angles 90.00°, 90.00° and 90.00°. The inequivalent atoms are Pm at (0.000, 0.000, 0.000), Pm at (0.189, 0.189, 0.266), Nd at (0.000, 0.000, 0.535) and Sm at (0.000, 0.326, 0.774).

[3]
# Pm5Nd3Sm4

A relaxed structure of Pm5Nd3Sm4 (GGA-PBE, Alexandria).

The structure belongs to space group P-1 (No. 2); the cell edges are 6.326, 7.296 and 8.949 Å and the angles 90.01°, 90.10° and 90.05°. The inequivalent atoms are Pm at (0.000, 0.000, 0.000), Pm at (0.333, 0.500, 0.334), Pm at (0.500, 0.249, 0.000), Nd at (0.000, 0.500, 0.000), Nd at (0.167, 0.249, 0.666), Sm at (0.167, 0.751, 0.666) and Sm at (0.333, 0.000, 0.334).

[4]
# Pm3NdSm2

A relaxed structure of Pm3NdSm2 (GGA-PBE, Alexandria).

The structure belongs to space group Cmcm (No. 63); the cell edges are 10.925, 10.937 and 6.826 Å and the angles 90.00°, 90.00° and 90.00°. The inequivalent atoms are Pm at (0.000, 0.097, 0.250), Pm at (0.250, 0.000, 0.000), Nd at (0.000, 0.401, 0.250) and Sm at (0.154, 0.250, 0.750).

[5]
# Pm5Nd2Sm4

A relaxed structure of Pm5Nd2Sm4 (GGA-PBE, Alexandria).

The structure belongs to space group C2/m (No. 12); the cell edges are 12.384, 6.963 and 10.839 Å and the angles 90.00°, 124.72° and 90.00°. The inequivalent atoms are Pm at (0.000, 0.000, 0.000), Pm at (0.004, 0.229, 0.668), Nd at (0.224, 0.500, 0.321), Sm at (0.193, 0.500, 0.992) and Sm at (0.221, 0.500, 0.650).

[6]
# Pm4Nd8Sm3

A relaxed structure of Pm4Nd8Sm3 (GGA-PBE, Alexandria).

The structure belongs to space group R-3m (No. 166, hexagonal axes); the cell edges are 7.1057, 7.1057 and 36.3551 Å and the angles 90.00°, 90.00° and 120.00°. The inequivalent atoms are Pm at (0.0000, 0.0000, 0.0000), Pm at (0.0000, 0.0000, 0.1641), Pm at (0.0000, 0.0000, 0.5000), Nd at (0.0000, 0.0000, 0.2536), Nd at (0.0016, 0.5008, 0.2503) and Sm at (0.0000, 0.5000, 0.0000).

Formation energy from the elements, record by record: 0.23, 0.24, 0.01, 0.19, 0.15, 0.13 eV per atom
Total magnetization, record by record: 0.05, 0.00, 0.00, 0.00, 0.00, 0.00 μB per formula unit
D(E_F), record by record: 1.542, 1.462, 1.465, 1.105, 1.519, 1.667 states/eV/atom